First-principles (GGA-PBE) data for a relaxed structure of EuDyAgIr, as listed in the Alexandria database.

Values from the calculation:
For the electronic total energy, the calculation gives -28.296 eV/cell. The calculation puts the calculated volume at 90 Å³/cell. For the density of states at the Fermi level, the calculation gives 5.770 states/eV per cell. As for the space group: F-43m, No. 216. The formation energy comes out at -427 meV per atom.

Structure (CIF):
```
data_EuDyAgIr
_space_group_name_H-M_alt 'P 1'
_space_group_IT_number 1
_cell_length_a 5.035
_cell_length_b 5.035
_cell_length_c 5.035
_cell_angle_alpha 60.00
_cell_angle_beta 60.00
_cell_angle_gamma 60.00
loop_
_space_group_symop_operation_xyz
'x,y,z'
loop_
_atom_site_label
_atom_site_type_symbol
_atom_site_fract_x
_atom_site_fract_y
_atom_site_fract_z
_atom_site_occupancy
Eu1 Eu 0.000 0.000 0.000 1
Dy1 Dy 0.500 0.500 0.500 1
Ag1 Ag 0.250 0.250 0.250 1
Ir1 Ir 0.750 0.750 0.750 1
```